1.
Hf2MgIn | GGA-PBE | optimized geometry

a = 5.732 Å, b = 5.732 Å, c = 10.392 Å
α = 108.47°, β = 108.47°, γ = 33.49°
Fractional positions:
Hf 0.109 0.109 0.423
Hf 0.358 0.358 0.324
Hf 0.642 0.642 0.676
Hf 0.891 0.891 0.577
Mg 0.130 0.130 0.925
Mg 0.870 0.870 0.075
In 0.389 0.389 0.833
In 0.611 0.611 0.167

Calculated values
Formation energy from the elements   -0.038 eV per atom
SG   C2/m (12)
D(E_F)   0.6829 states/eV per atom
ρ   9.3 g/cm³

=====

2.
Zr2Zn6Cu9 | GGA-PBE | optimized geometry

a = 4.979 Å, b = 4.979 Å, c = 12.584 Å
α = 90.00°, β = 90.00°, γ = 120.00°
Fractional positions:
Zr 0.000 0.000 0.130
Zr 0.000 0.000 0.870
Zn 0.333 0.667 0.169
Zn 0.333 0.667 0.500
Zn 0.333 0.667 0.831
Zn 0.667 0.333 0.169
Zn 0.667 0.333 0.500
Zn 0.667 0.333 0.831
Cu 0.000 0.500 0.000
Cu 0.000 0.500 0.334
Cu 0.000 0.500 0.666
Cu 0.500 0.000 0.000
Cu 0.500 0.000 0.334
Cu 0.500 0.000 0.666
Cu 0.500 0.500 0.000
Cu 0.500 0.500 0.334
Cu 0.500 0.500 0.666

Calculated values
Formation energy from the elements   -0.003 eV per atom
SG   P6/mmm (191)
D(E_F)   0.3129 states/eV per atom
ρ   7.0 g/cm³

=====

3.
YNi12Ge4 | GGA-PBE | optimized geometry

a = 6.857 Å, b = 6.857 Å, c = 6.857 Å
α = 109.47°, β = 109.47°, γ = 109.47°
Fractional positions:
Y 0.000 0.000 0.000
Ni 0.153 0.507 0.354
Ni 0.153 0.799 0.646
Ni 0.201 0.354 0.847
Ni 0.354 0.153 0.507
Ni 0.354 0.847 0.201
Ni 0.493 0.646 0.847
Ni 0.507 0.354 0.153
Ni 0.646 0.153 0.799
Ni 0.646 0.847 0.493
Ni 0.799 0.646 0.153
Ni 0.847 0.201 0.354
Ni 0.847 0.493 0.646
Ge 0.000 0.000 0.500
Ge 0.000 0.500 0.000
Ge 0.500 0.000 0.000
Ge 0.500 0.500 0.500

Calculated values
Formation energy from the elements   0.114 eV per atom
SG   Im-3 (204)
D(E_F)   0.4115 states/eV per atom
ρ   7.2 g/cm³

=====

4.
PaCrSn2S6 | GGA-PBE | optimized geometry

a = 6.987 Å, b = 6.987 Å, c = 6.987 Å
α = 59.21°, β = 59.21°, γ = 59.21°
Fractional positions:
Pa 0.000 0.000 0.000
Cr 0.499 0.499 0.499
Sn 0.292 0.292 0.292
Sn 0.793 0.793 0.793
S 0.174 0.722 0.345
S 0.246 0.650 0.823
S 0.345 0.174 0.722
S 0.650 0.823 0.246
S 0.722 0.345 0.174
S 0.823 0.246 0.650

Calculated values
Formation energy from raw total energies   -8.1 eV per formula unit
SG   R3 (146)
ρ   5.0 g/cm³

=====

5.
YAs | GGA-PBE | optimized geometry

a = 4.024 Å, b = 4.024 Å, c = 3.666 Å
α = 90.00°, β = 90.00°, γ = 120.00°
Fractional positions:
Y 0.000 0.000 0.000
As 0.333 0.667 0.500

Calculated values
Formation energy from the elements   -1.252 eV per atom
SG   P-6m2 (187)
D(E_F)   0.1776 states/eV per atom
ρ   5.3 g/cm³

=====

6.
HfBeW3 | GGA-PBE | optimized geometry

a = 4.337 Å, b = 4.337 Å, c = 4.337 Å
α = 90.00°, β = 90.00°, γ = 90.00°
Fractional positions:
Hf 0.000 0.000 0.000
Be 0.500 0.500 0.500
W 0.000 0.500 0.500
W 0.500 0.000 0.500
W 0.500 0.500 0.000

Calculated values
Formation energy from the elements   0.630 eV per atom
E above lowest polymorph   0.0 meV per atom
SG   Pm-3m (221)
D(E_F)   0.9514 states/eV per atom
ρ   15.0 g/cm³